[1]
Here is a crystal of InSi2Ru2 relaxed with PBEsol from Alexandria. Energies are from meta-GGA SCAN.

## Properties
Space-group type ... I4/mmm (139)
Spin magnetization ... 0.00 μB per cell
V ... 75 Å³ per cell
Energy relative to the elements, uncorrected ... -0.44 eV per atom

Cell: 3.5336 3.5336 6.5419 Å, 105.67 105.67 90.00°
With the nearest neighbours (Å) after each atom.
Element x y z (fractional)
Ru1 0.6171 0.6171 0.2341  4 Si 2.39
In1 0.0000 0.0000 0.0000  8 Ru 2.87
Si1 0.2500 0.7500 0.5000  4 Ru 2.39, 4 Si 2.50
Ru2 0.3829 0.3829 0.7659  4 Si 2.39
Si2 0.7500 0.2500 0.5000  4 Ru 2.39, 4 Si 2.50

[2]
Here is a crystal of InSnRu3 relaxed with PBEsol from Alexandria. Energies are from meta-GGA SCAN.

## Properties
Space-group type ... Pm-3m (221)
Spin magnetization ... 3.12 μB per cell
V ... 108 Å³ per cell
Energy of formation ... 7.99 eV/f.u.

Cell: 4.7623 4.7623 4.7623 Å, 90.00 90.00 90.00°
With the nearest neighbours (Å) after each atom.
Element x y z (fractional)
Ru1 0.0000 0.5000 0.0000  2 Sn 2.38
Ru2 0.5000 0.0000 0.0000  2 Sn 2.38
Ru3 0.0000 0.0000 0.5000  2 Sn 2.38
In1 0.5000 0.5000 0.5000  12 Ru 3.37
Sn1 0.0000 0.0000 0.0000  6 Ru 2.38

Uncorrected energy
In order: -125.3 -165.8
Unit: eV per cell